Entry one
Li3TeH | PBE | relaxed

Calculated values
ρ, g/cm³: 1.78
Total magnetization, μB/f.u.: 0.00
Symmetry: Pm-3m, No. 221

Unit cell a=5.190 b=5.190 c=5.190 alpha=90.00 beta=90.00 gamma=90.00
Positions (direct):
Li 0.000 0.500 0.000
Li 0.500 0.000 0.000
Li 0.000 0.000 0.500
H 0.500 0.500 0.500
Te 0.000 0.000 0.000


Entry two
Li3TeH | PBE | relaxed

Calculated values
ρ, g/cm³: 3.38
Total magnetization, μB/f.u.: 0.00
Symmetry: Pm-3m, No. 221

Unit cell a=4.186 b=4.186 c=4.186 alpha=90.00 beta=90.00 gamma=90.00
Positions (direct):
Te 0.500 0.500 0.500
Li 0.000 0.000 0.500
Li 0.500 0.000 0.000
Li 0.000 0.500 0.000
H 0.000 0.000 0.000


What should be chosen as the least stable of them? Choose entry one.


Entry one
LiThH2 | PBE | relaxed

Calculated values
ρ, g/cm³: 7.18
Total magnetization, μB/f.u.: 0.00
Symmetry: R-3m, No. 166

Unit cell a=3.384 b=3.384 c=5.946 alpha=73.47 beta=73.47 gamma=60.00
Positions (direct):
H 0.243 0.243 0.271
H 0.757 0.757 0.729
Th 0.000 0.000 0.000
Li 0.500 0.500 0.500


Entry two
LiThH2 | PBE | relaxed

Calculated values
ρ, g/cm³: 7.16
Total magnetization, μB/f.u.: 0.00
Symmetry: R3m, No. 160

Unit cell a=3.293 b=3.293 c=6.246 alpha=74.71 beta=74.71 gamma=60.00
Positions (direct):
Li 0.672 0.672 0.984
Th 0.497 0.497 0.509
H 0.073 0.073 0.780
H 0.258 0.258 0.227


What should be chosen as the least stable of them? Choose entry two.